InRe2As: optimized geometry, GGA-PBE.

Lattice parameters (Å, degrees): 3.099 3.099 6.774 90.00 90.00 90.00
Space group P4/mmm (No. 123)
One atom of each set of equivalent atoms:
In: 0.000 0.000 0.000 (multiplicity 1)
Re: 0.500 0.500 0.290 (multiplicity 2)
As: 0.000 0.000 0.500 (multiplicity 1)

Results
Density of states at the Fermi level, states/eV per atom: 0.832
Formation enthalpy at 0 K, eV/atom: 0.520
Polymorph energy (0 for the lowest one), eV/atom: 0.339



InReAs2: optimized geometry, GGA-PBE.

Lattice parameters (Å, degrees): 4.650 4.650 3.322 90.00 90.00 90.00
Space group P4/mmm (No. 123)
One atom of each set of equivalent atoms:
In: 0.000 0.000 0.000 (multiplicity 1)
Re: 0.500 0.500 0.000 (multiplicity 1)
As: 0.000 0.500 0.500 (multiplicity 2)

Results
Density of states at the Fermi level, states/eV per atom: 1.148
Formation enthalpy at 0 K, eV/atom: 0.732



InRe2As2: optimized geometry, GGA-PBE.

Lattice parameters (Å, degrees): 7.388 7.388 3.119 90.00 90.00 90.00
Space group P4/mbm (No. 127)
One atom of each set of equivalent atoms:
In: 0.000 0.000 0.000 (multiplicity 2)
Re: 0.146 0.354 0.000 (multiplicity 4)
As: 0.143 0.643 0.500 (multiplicity 4)

Results
Density of states at the Fermi level, states/eV per atom: 0.945
Formation enthalpy at 0 K, eV/atom: 0.444
Polymorph energy (0 for the lowest one), eV/atom: 0.035



InReAs2: optimized geometry, GGA-PBE.

Lattice parameters (Å, degrees): 3.066 3.066 8.136 90.00 90.00 90.00
Space group P4mm (No. 99)
One atom of each set of equivalent atoms:
In: 0.000 0.000 0.000 (multiplicity 1)
Re: 0.500 0.500 0.244 (multiplicity 1)
As: 0.000 0.000 0.413 (multiplicity 1)
As: 0.500 0.500 0.723 (multiplicity 1)

Results
Density of states at the Fermi level, states/eV per atom: 0.849
Formation enthalpy at 0 K, eV/atom: 0.345



In3ReAs: optimized geometry, GGA-PBE.

Lattice parameters (Å, degrees): 5.281 5.281 5.281 90.00 90.00 90.00
Space group Pm-3m (No. 221)
One atom of each set of equivalent atoms:
In: 0.000 0.000 0.500 (multiplicity 3)
Re: 0.500 0.500 0.500 (multiplicity 1)
As: 0.000 0.000 0.000 (multiplicity 1)

Results
Density of states at the Fermi level, states/eV per atom: 0.693
Formation enthalpy at 0 K, eV/atom: 1.410
Polymorph energy (0 for the lowest one), eV/atom: 0.601



InRe2As: optimized geometry, GGA-PBE.

Lattice parameters (Å, degrees): 6.464 6.464 6.464 90.00 90.00 90.00
Space group F-43m (No. 216)
One atom of each set of equivalent atoms:
In: 0.000 0.000 0.000 (multiplicity 4)
Re: 0.000 0.000 0.500 (multiplicity 4)
Re: 0.250 0.250 0.750 (multiplicity 4)
As: 0.250 0.250 0.250 (multiplicity 4)

Results
Density of states at the Fermi level, states/eV per atom: 0.956
Formation enthalpy at 0 K, eV/atom: 0.710
Polymorph energy (0 for the lowest one), eV/atom: 0.528



InReAs2: optimized geometry, GGA-PBE.

Lattice parameters (Å, degrees): 3.255 5.022 9.674 90.00 90.00 90.00
Space group Cmm2 (No. 35)
One atom of each set of equivalent atoms:
In: 0.000 0.000 0.000 (multiplicity 2)
Re: 0.000 0.500 0.756 (multiplicity 2)
As: 0.000 0.000 0.567 (multiplicity 2)
As: 0.000 0.500 0.257 (multiplicity 2)

Results
Density of states at the Fermi level, states/eV per atom: 0.574
Formation enthalpy at 0 K, eV/atom: 0.514



InRe2As: optimized geometry, GGA-PBE.

Lattice parameters (Å, degrees): 3.096 4.471 4.907 90.00 90.00 90.00
Space group Pmmm (No. 47)
One atom of each set of equivalent atoms:
In: 0.000 0.000 0.000 (multiplicity 1)
Re: 0.000 0.500 0.500 (multiplicity 1)
Re: 0.500 0.500 0.000 (multiplicity 1)
As: 0.500 0.000 0.500 (multiplicity 1)

Results
Density of states at the Fermi level, states/eV per atom: 1.223
Formation enthalpy at 0 K, eV/atom: 0.824
Polymorph energy (0 for the lowest one), eV/atom: 0.642



InReAs2: optimized geometry, GGA-PBE.

Lattice parameters (Å, degrees): 6.627 6.627 6.627 90.00 90.00 90.00
Space group F-43m (No. 216)
One atom of each set of equivalent atoms:
In: 0.000 0.000 0.000 (multiplicity 4)
Re: 0.250 0.250 0.250 (multiplicity 4)
As: 0.000 0.000 0.500 (multiplicity 4)
As: 0.250 0.250 0.750 (multiplicity 4)

Results
Density of states at the Fermi level, states/eV per atom: 1.098
Formation enthalpy at 0 K, eV/atom: 0.818



InReAs2: optimized geometry, GGA-PBE.

Lattice parameters (Å, degrees): 4.122 4.122 8.514 90.00 90.00 90.00
Space group I-4m2 (No. 119)
One atom of each set of equivalent atoms:
In: 0.000 0.000 0.000 (multiplicity 2)
Re: 0.000 0.500 0.750 (multiplicity 2)
As: 0.000 0.000 0.500 (multiplicity 2)
As: 0.000 0.500 0.250 (multiplicity 2)

Results
Density of states at the Fermi level, states/eV per atom: 1.107
Formation enthalpy at 0 K, eV/atom: 0.761



InRe2As: optimized geometry, GGA-PBE.

Lattice parameters (Å, degrees): 6.369 6.369 6.369 90.00 90.00 90.00
Space group Fm-3m (No. 225)
One atom of each set of equivalent atoms:
In: 0.000 0.000 0.000 (multiplicity 4)
Re: 0.250 0.250 0.250 (multiplicity 8)
As: 0.000 0.000 0.500 (multiplicity 4)

Results
Density of states at the Fermi level, states/eV per atom: 0.911
Formation enthalpy at 0 K, eV/atom: 0.710
Polymorph energy (0 for the lowest one), eV/atom: 0.529



InReAs2: optimized geometry, GGA-PBE.

Lattice parameters (Å, degrees): 3.0832 3.0832 28.2117 90.00 90.00 120.00
Space group R3m (No. 160, hexagonal axes)
One atom of each set of equivalent atoms:
In: 0.0000 0.0000 0.0000 (multiplicity 3)
Re: 0.0000 0.0000 0.2515 (multiplicity 3)
As: 0.0000 0.0000 0.5219 (multiplicity 3)
As: 0.0000 0.0000 0.7539 (multiplicity 3)

Results
Density of states at the Fermi level, states/eV per atom: 0.974
Formation enthalpy at 0 K, eV/atom: 0.310



InRe2As: optimized geometry, GGA-PBE.

Lattice parameters (Å, degrees): 3.002 4.598 4.972 90.00 97.50 90.00
Space group Pm (No. 6)
One atom of each set of equivalent atoms:
In: 0.000 0.000 0.000 (multiplicity 1)
Re: 0.440 0.000 0.505 (multiplicity 1)
Re: 0.891 0.500 0.334 (multiplicity 1)
As: 0.502 0.500 0.752 (multiplicity 1)

Results
Density of states at the Fermi level, states/eV per atom: 0.706
Formation enthalpy at 0 K, eV/atom: 0.488
Polymorph energy (0 for the lowest one), eV/atom: 0.307



InRe3As: optimized geometry, GGA-PBE.

Lattice parameters (Å, degrees): 4.579 4.579 4.579 90.00 90.00 90.00
Space group Pm-3m (No. 221)
One atom of each set of equivalent atoms:
In: 0.000 0.000 0.000 (multiplicity 1)
Re: 0.000 0.500 0.500 (multiplicity 3)
As: 0.500 0.500 0.500 (multiplicity 1)

Results
Density of states at the Fermi level, states/eV per atom: 1.461
Formation enthalpy at 0 K, eV/atom: 1.479
Polymorph energy (0 for the lowest one), eV/atom: 0.000



InReAs3: optimized geometry, GGA-PBE.

Lattice parameters (Å, degrees): 4.903 4.903 4.903 90.00 90.00 90.00
Space group Pm-3m (No. 221)
One atom of each set of equivalent atoms:
In: 0.000 0.000 0.000 (multiplicity 1)
Re: 0.500 0.500 0.500 (multiplicity 1)
As: 0.000 0.500 0.500 (multiplicity 3)

Results
Density of states at the Fermi level, states/eV per atom: 0.989
Formation enthalpy at 0 K, eV/atom: 0.492
Polymorph energy (0 for the lowest one), eV/atom: 0.000



In3ReAs: optimized geometry, GGA-PBE.

Lattice parameters (Å, degrees): 5.256 5.256 5.256 90.00 90.00 90.00
Space group Pm-3m (No. 221)
One atom of each set of equivalent atoms:
In: 0.000 0.000 0.500 (multiplicity 3)
Re: 0.000 0.000 0.000 (multiplicity 1)
As: 0.500 0.500 0.500 (multiplicity 1)

Results
Density of states at the Fermi level, states/eV per atom: 0.491
Formation enthalpy at 0 K, eV/atom: 0.809
Polymorph energy (0 for the lowest one), eV/atom: 0.000



InRe3As: optimized geometry, GGA-PBE.

Lattice parameters (Å, degrees): 4.860 4.860 4.860 90.00 90.00 90.00
Space group Pm-3m (No. 221)
One atom of each set of equivalent atoms:
In: 0.000 0.000 0.000 (multiplicity 1)
Re: 0.000 0.000 0.500 (multiplicity 3)
As: 0.500 0.500 0.500 (multiplicity 1)

Results
Density of states at the Fermi level, states/eV per atom: 1.458
Formation enthalpy at 0 K, eV/atom: 3.102
Polymorph energy (0 for the lowest one), eV/atom: 1.622



InReAs2: optimized geometry, GGA-PBE.

Lattice parameters (Å, degrees): 8.686 3.168 6.432 90.00 108.63 90.00
Space group Cm (No. 8)
One atom of each set of equivalent atoms:
In: 0.000 0.000 0.000 (multiplicity 2)
Re: 0.131 0.500 0.405 (multiplicity 2)
As: 0.190 0.000 0.727 (multiplicity 2)
As: 0.340 0.000 0.378 (multiplicity 2)

Results
Density of states at the Fermi level, states/eV per atom: 0.147
Formation enthalpy at 0 K, eV/atom: 0.074



InRe2As: optimized geometry, GGA-PBE.

Lattice parameters (Å, degrees): 8.722 3.057 5.318 90.00 105.29 90.00
Space group C2/m (No. 12)
One atom of each set of equivalent atoms:
In: 0.000 0.000 0.000 (multiplicity 2)
Re: 0.228 0.000 0.698 (multiplicity 4)
As: 0.000 0.500 0.500 (multiplicity 2)

Results
Density of states at the Fermi level, states/eV per atom: 0.637
Formation enthalpy at 0 K, eV/atom: 0.546
Polymorph energy (0 for the lowest one), eV/atom: 0.364



InRe2As: optimized geometry, GGA-PBE.

Lattice parameters (Å, degrees): 3.015 3.953 5.821 90.00 104.08 90.00
Space group P2/m (No. 10)
One atom of each set of equivalent atoms:
In: 0.000 0.000 0.000 (multiplicity 1)
Re: 0.362 0.500 0.717 (multiplicity 2)
As: 0.000 0.000 0.500 (multiplicity 1)

Results
Density of states at the Fermi level, states/eV per atom: 0.630
Formation enthalpy at 0 K, eV/atom: 0.594
Polymorph energy (0 for the lowest one), eV/atom: 0.412